## Cs2PaI2Cl4 (GGA-PBE)

Data for an optimized crystal structure of Cs2PaI2Cl4.

Calculated values
Its electronic total energy is -37.7 eV per cell. The size of the total moment is 1.0 Bohr magnetons per cell.

Unit cell a=8.149 b=8.149 c=8.149 alpha=90.35 beta=119.80 gamma=119.80
Positions (direct):
Cs 0.500 0.750 0.250
Cs 0.500 0.250 0.750
Pa 0.000 0.000 0.000
I 0.000 0.732 0.732
I 0.000 0.268 0.268
Cl 0.000 0.772 0.228
Cl 0.544 0.772 0.772
Cl 0.000 0.228 0.772
Cl 0.456 0.228 0.228

***

## CaHo2ScHg4 (GGA-PBE)

Data for an optimized crystal structure of CaHo2ScHg4.

Calculated values
The formation energy comes out at -0.49 eV per atom. The size of the total moment is 0.0 Bohr magnetons per cell. Its density of states at the Fermi level is 4.11 states/eV per cell.

Unit cell a=5.189 b=5.189 c=8.994 alpha=73.23 beta=73.23 gamma=60.00
Positions (direct):
Ca 0.000 0.000 0.000
Ho 0.750 0.750 0.749
Ho 0.250 0.250 0.251
Sc 0.500 0.500 0.500
Hg 0.379 0.379 0.864
Hg 0.873 0.873 0.382
Hg 0.127 0.127 0.618
Hg 0.621 0.621 0.136

***

## Ba2BePb (GGA-PBE)

Data for an optimized crystal structure of Ba2BePb.

Calculated values
The formation energy comes out at 0.30 eV per atom. For the polymorph energy (0 for the lowest one), the calculation gives 393 meV per atom. The size of the total moment is 0.0 Bohr magnetons per cell. Its density of states at the Fermi level is 3.26 states/eV per cell.

Unit cell a=4.130 b=5.536 c=7.135 alpha=90.00 beta=90.00 gamma=90.00
Positions (direct):
Pb 0.500 0.500 0.808
Be 0.000 0.000 0.436
Ba 0.000 0.000 0.919
Ba 0.500 0.500 0.336

***

## CaHfTc2 (GGA-PBE)

Data for an optimized crystal structure of CaHfTc2.

Calculated values
The formation energy comes out at 0.35 eV per atom. For the polymorph energy (0 for the lowest one), the calculation gives 0 meV per atom. The size of the total moment is 0.0 Bohr magnetons per cell. Its density of states at the Fermi level is 5.37 states/eV per cell.

Unit cell a=4.712 b=4.712 c=4.712 alpha=60.00 beta=60.00 gamma=60.00
Positions (direct):
Ca 0.000 0.000 0.000
Hf 0.500 0.500 0.500
Tc 0.250 0.250 0.250
Tc 0.750 0.750 0.750

***

## ZnSbPt2 (GGA-PBE)

Data for an optimized crystal structure of ZnSbPt2.

Calculated values
Its electronic total energy is -18.6 eV per cell. The size of the total moment is 0.0 Bohr magnetons per cell. Its density of states at the Fermi level is 1.74 states/eV per cell.

Unit cell a=4.655 b=3.643 c=4.200 alpha=90.00 beta=90.00 gamma=90.00
Positions (direct):
Pt 0.000 0.875 0.005
Pt 0.500 0.375 0.235
Sb 0.000 0.375 0.538
Zn 0.500 0.875 0.722

***

## Mn2CrIr2 (GGA-PBE)

Data for an optimized crystal structure of Mn2CrIr2.

Calculated values
The formation energy comes out at 0.11 eV per atom. For the polymorph energy (0 for the lowest one), the calculation gives 0 meV per atom. The size of the total moment is 0.9 Bohr magnetons per cell. Its density of states at the Fermi level is 11.90 states/eV per cell.

Unit cell a=7.081 b=7.081 c=2.680 alpha=90.00 beta=90.00 gamma=90.00
Positions (direct):
Cr 0.000 0.000 0.000
Cr 0.500 0.500 0.000
Ir 0.179 0.679 0.500
Ir 0.679 0.821 0.500
Ir 0.821 0.321 0.500
Ir 0.321 0.179 0.500
Mn 0.383 0.883 0.000
Mn 0.883 0.617 0.000
Mn 0.617 0.117 0.000
Mn 0.117 0.383 0.000

***

## Zr2MnNb2 (GGA-PBE)

Data for an optimized crystal structure of Zr2MnNb2.

Calculated values
The formation energy comes out at 0.52 eV per atom. For the polymorph energy (0 for the lowest one), the calculation gives 321 meV per atom. The size of the total moment is 1.8 Bohr magnetons per cell. Its density of states at the Fermi level is 11.95 states/eV per cell.

Unit cell a=6.553 b=6.553 c=4.643 alpha=90.00 beta=90.00 gamma=90.00
Positions (direct):
Nb 0.150 0.650 0.500
Nb 0.650 0.850 0.500
Nb 0.850 0.350 0.500
Nb 0.350 0.150 0.500
Mn 0.000 0.000 0.000
Mn 0.500 0.500 0.000
Zr 0.338 0.838 0.000
Zr 0.838 0.662 0.000
Zr 0.662 0.162 0.000
Zr 0.162 0.338 0.000

***

## Tb4Ho11Tm9 (GGA-PBE)

Data for an optimized crystal structure of Tb4Ho11Tm9.

Calculated values
The formation energy comes out at 0.06 eV per atom. The size of the total moment is 0.0 Bohr magnetons per cell. Its density of states at the Fermi level is 33.82 states/eV per cell.

Unit cell a=3.488 b=14.541 c=14.541 alpha=91.69 beta=90.00 gamma=90.00
Positions (direct):
Tb 0.500 0.551 0.721
Tb 0.500 0.449 0.279
Tb 0.500 0.721 0.551
Tb 0.500 0.279 0.449
Ho 0.000 0.585 0.921
Ho 0.000 0.415 0.079
Ho 0.000 0.921 0.585
Ho 0.000 0.079 0.415
Ho 0.000 0.657 0.343
Ho 0.000 0.343 0.657
Ho 0.000 0.830 0.170
Ho 0.000 0.170 0.830
Ho 0.000 0.000 0.000
Ho 0.000 0.759 0.759
Ho 0.000 0.241 0.241
Tm 0.500 0.623 0.130
Tm 0.500 0.377 0.870
Tm 0.500 0.130 0.623
Tm 0.500 0.870 0.377
Tm 0.500 0.794 0.964
Tm 0.500 0.206 0.036
Tm 0.500 0.964 0.794
Tm 0.500 0.036 0.206
Tm 0.500 0.500 0.500

***

## CsTl12Bi6 (GGA-PBE)

Data for an optimized crystal structure of CsTl12Bi6.

Calculated values
The formation energy comes out at -0.01 eV per atom. The size of the total moment is 0.0 Bohr magnetons per cell. Its density of states at the Fermi level is 9.95 states/eV per cell.

Unit cell a=9.438 b=9.438 c=9.438 alpha=106.75 beta=106.75 gamma=106.75
Positions (direct):
Cs 0.000 0.000 0.000
Tl 0.883 0.117 0.500
Tl 0.841 0.597 0.597
Tl 0.597 0.597 0.841
Tl 0.403 0.159 0.403
Tl 0.403 0.403 0.159
Tl 0.159 0.403 0.403
Tl 0.117 0.500 0.883
Tl 0.500 0.883 0.117
Tl 0.117 0.883 0.500
Tl 0.883 0.500 0.117
Tl 0.500 0.117 0.883
Tl 0.597 0.841 0.597
Bi 0.718 0.272 0.272
Bi 0.272 0.272 0.718
Bi 0.272 0.718 0.272
Bi 0.728 0.728 0.282
Bi 0.282 0.728 0.728
Bi 0.728 0.282 0.728